Na2MnCdFeP3O12 | GGA+U | relaxed

Unit cell a=12.325 b=12.836 c=6.616 alpha=90.00 beta=114.48 gamma=90.00
Space group C2 (No. 5)
Unique sites:
1 Na 0.000 0.000 0.000 x2
2 Na 0.000 0.050 0.500 x2
3 Na 0.000 0.518 0.250 x4
4 Mn 0.225 0.167 0.896 x4
5 Cd 0.000 0.287 0.000 x2
6 Cd 0.000 0.746 0.500 x2
7 Fe 0.226 0.856 0.386 x4
8 P 0.000 0.299 0.500 x2
9 P 0.000 0.738 0.000 x2
10 P 0.237 0.909 0.877 x4
11 P 0.238 0.119 0.383 x4
12 O 0.043 0.229 0.709 x4
13 O 0.054 0.812 0.210 x4
14 O 0.089 0.667 0.961 x4
15 O 0.098 0.374 0.493 x4
16 O 0.130 0.606 0.575 x4
17 O 0.131 0.430 0.072 x4
18 O 0.161 0.009 0.844 x4
19 O 0.161 0.168 0.152 x4
20 O 0.180 0.844 0.654 x4
21 O 0.182 0.009 0.383 x4
22 O 0.229 0.844 0.072 x4
23 O 0.230 0.190 0.568 x4

Values from the calculation:
* raw total energy: -534.21 eV for the cell shown
* size of the total moment: 10.0 μB/f.u.